Record 1
Here is KMnRuRh2 after structural relaxation from Alexandria via LeMat-Bulk. Energies are from PBE-GGA.

Lattice parameters (Å, degrees): 4.5930 4.5930 4.6597 90.00 90.00 90.00
With the nearest neighbours (Å) after each atom.
Space group P4/mmm (No. 123)
Symmetry-distinct sites (fractional):
1 K 0.0000 0.0000 0.0000  4 Rh 2.30, 2 Mn 2.33
2 Mn 0.0000 0.0000 0.5000  2 K 2.33
3 Ru 0.5000 0.5000 0.5000  4 Mn 3.25, 8 Rh 3.27
4 Rh 0.0000 0.5000 0.0000  2 K 2.30

Formation energy from the elements (eV/atom): 2.44

Record 2
Here is K3MnRh3S8 after structural relaxation from Alexandria via LeMat-Bulk. Energies are from PBE-GGA.

Lattice parameters (Å, degrees): 7.2411 7.2411 21.2672 90.00 90.00 120.00
With the nearest neighbours (Å) after each atom.
Space group R-3m (No. 166, hexagonal axes)
Symmetry-distinct sites (fractional):
1 K 0.0000 0.5000 0.0000  6 S 3.14-3.16
2 Mn 0.0000 0.0000 0.5000  6 S 2.40
3 Rh 0.0000 0.5000 0.5000  6 S 2.40-2.41
4 S 0.0000 0.0000 0.2221  3 Rh 2.40
5 S 0.0015 0.5008 0.2228  1 Mn 2.40, 2 Rh 2.41

E_form (uncorrected) (meV per atom): -734

Record 3
Here is K3MnRh3Se8 after structural relaxation from Alexandria via LeMat-Bulk. Energies are from PBE-GGA.

Lattice parameters (Å, degrees): 7.6128 7.6128 22.2364 90.00 90.00 120.00
With the nearest neighbours (Å) after each atom.
Space group R-3m (No. 166, hexagonal axes)
Symmetry-distinct sites (fractional):
1 K 0.0000 0.5000 0.0000  6 Se 3.29-3.30
2 Mn 0.0000 0.0000 0.5000  6 Se 2.54
3 Rh 0.0000 0.5000 0.5000  6 Se 2.53
4 Se 0.0000 0.0000 0.2227  3 Rh 2.53
5 Se 0.0007 0.5004 0.7765  2 Rh 2.53, 1 Mn 2.54

E_form (uncorrected) (meV per atom): -681

Please write out number 2 again, unchanged.
Here is K3MnRh3S8 after structural relaxation from Alexandria via LeMat-Bulk. Energies are from PBE-GGA.

Lattice parameters (Å, degrees): 7.2411 7.2411 21.2672 90.00 90.00 120.00
With the nearest neighbours (Å) after each atom.
Space group R-3m (No. 166, hexagonal axes)
Symmetry-distinct sites (fractional):
1 K 0.0000 0.5000 0.0000  6 S 3.14-3.16
2 Mn 0.0000 0.0000 0.5000  6 S 2.40
3 Rh 0.0000 0.5000 0.5000  6 S 2.40-2.41
4 S 0.0000 0.0000 0.2221  3 Rh 2.40
5 S 0.0015 0.5008 0.2228  1 Mn 2.40, 2 Rh 2.41

E_form (uncorrected) (meV per atom): -734

Question: Which formula does entry 2 have?
Answer: K3MnRh3S8